Entry 1:
# Ca5PaPt6

Ca5PaPt6 after structural relaxation (PBE-GGA, Alexandria via LeMat-Bulk).

Calculated values
**Calculated volume**: 21.8 Å³ per atom
**SG**: Cmmm
**E_form**: -0.95 eV per atom

Cell and atoms, written as POSCAR:
```
Ca5PaPt6
1.0
4.7044 -0.0282 1.5678
0.0378 7.0630 0.0126
-0.0098 -0.0141 7.8716
Ca Pa Pt
5 1 6
Direct
0.6660 0.5000 0.6680
0.3249 0.0000 0.3502
0.0000 0.5000 0.0000
0.6751 0.0000 0.6498
0.3340 0.5000 0.3320
0.0000 0.0000 0.0000
0.8488 0.7625 0.3024
0.8488 0.2375 0.3024
0.4999 0.2193 0.0000
0.5001 0.7807 0.0000
0.1512 0.7625 0.6976
0.1512 0.2375 0.6976
```

---

Entry 2:
# Pm2ThSe4

Pm2ThSe4 after structural relaxation (PBE-GGA, Alexandria via LeMat-Bulk).

Calculated values
**Energy relative to the lowest polymorph listed for this composition**: 0.000 eV per atom
**Calculated volume**: 29.4 Å³ per atom
**SG**: Imma

Cell and atoms, written as POSCAR:
```
Pm2ThSe4
1.0
-7.7700 -2.6920 1.8162
-1.4855 -8.1119 1.1453
-1.8044 -2.8213 7.6227
Pm Th Se
4 2 8
Direct
0.0000 0.0000 0.0000
0.0000 0.0000 0.5000
0.0000 0.5000 0.5000
0.5000 0.0000 0.5000
0.5000 0.5000 0.0000
0.0000 0.5000 0.0000
0.2575 0.2426 0.2423
0.7425 0.2577 0.2574
0.2575 0.7423 0.7426
0.7425 0.7574 0.7577
0.7528 0.7486 0.2486
0.7500 0.2514 0.7514
0.2500 0.7486 0.2486
0.2472 0.2514 0.7514
```

---

Entry 3:
# Rb2HfSi2

Rb2HfSi2 after structural relaxation (PBE-GGA, Alexandria via LeMat-Bulk).

Calculated values
**Energy relative to the lowest polymorph listed for this composition**: 0.423 eV per atom
**Calculated volume**: 32.2 Å³ per atom
**SG**: I4/mmm

Cell and atoms, written as POSCAR:
```
Rb2HfSi2
1.0
5.7336 0.0000 0.0000
0.0000 5.7336 0.0000
2.8668 2.8668 4.8912
Si Hf Rb
2 1 2
Direct
0.7500 0.2500 0.5000
0.2500 0.7500 0.5000
0.0000 0.0000 0.0000
0.3554 0.3554 0.2892
0.6446 0.6446 0.7108
```

---

Entry 4:
# Li2CeGaPd4

Li2CeGaPd4 after structural relaxation (PBE-GGA, Alexandria via LeMat-Bulk).

Calculated values
**Calculated volume**: 16.5 Å³ per atom
**SG**: R-3m
**E_form**: -0.61 eV per atom

Cell and atoms, written as POSCAR:
```
Li2CeGaPd4
1.0
4.3791 0.0000 0.0000
2.1895 3.7924 0.0000
2.1895 1.2641 7.9628
Li Ce Ga Pd
2 1 1 4
Direct
0.7611 0.7611 0.7166
0.2389 0.2389 0.2834
0.0000 0.0000 0.0000
0.5000 0.5000 0.5000
0.3945 0.3945 0.8165
0.8709 0.8709 0.3873
0.1291 0.1291 0.6127
0.6055 0.6055 0.1835
```